Model A:
# U3Pa2Se8

U3Pa2Se8 after structural relaxation (PBE, Alexandria via LeMat-Bulk).

Cell lengths 8.479, 8.479, 4.927 Å; angles 90.00, 90.00, 110.03 degrees
Sites, in units of the cell vectors:
U1 0.000 0.000 0.000
U2 0.266 0.266 0.500
U3 0.734 0.734 0.500
Pa1 0.259 0.741 0.000
Pa2 0.741 0.259 0.000
Se1 0.121 0.369 0.000
Se2 0.122 0.878 0.500
Se3 0.369 0.121 0.000
Se4 0.370 0.630 0.500
Se5 0.630 0.370 0.500
Se6 0.631 0.879 0.000
Se7 0.878 0.122 0.500
Se8 0.879 0.631 0.000

- Size of the total moment: 0.8901 μB/atom

---

Model B:
# U3Pa2Se8

U3Pa2Se8 after structural relaxation (PBE, Alexandria via LeMat-Bulk).

Cell lengths 8.295, 8.295, 6.804 Å; angles 104.13, 104.13, 57.95 degrees
Sites, in units of the cell vectors:
U1 0.000 0.000 0.000
U2 0.245 0.755 0.500
U3 0.755 0.245 0.500
Pa1 0.247 0.247 0.826
Pa2 0.753 0.753 0.174
Se1 0.129 0.129 0.411
Se2 0.133 0.620 0.088
Se3 0.380 0.867 0.912
Se4 0.386 0.386 0.603
Se5 0.614 0.614 0.397
Se6 0.620 0.133 0.088
Se7 0.867 0.380 0.912
Se8 0.871 0.871 0.589

- Size of the total moment: 0.9052 μB/atom

---

List of relative energies, unit meV per atom: model A 0; model B 58

---

Model A:
# U2PaSe4

U2PaSe4 after structural relaxation (PBE, Alexandria via LeMat-Bulk).

Cell lengths 7.440, 7.440, 7.440 Å; angles 109.39, 109.39, 109.64 degrees
Sites, in units of the cell vectors:
U1 0.002 0.125 0.377
U2 0.375 0.998 0.123
U3 0.748 0.625 0.623
U4 0.875 0.252 0.877
Pa1 0.250 0.750 0.500
Pa2 0.500 0.500 0.000
Se1 0.123 0.529 0.749
Se2 0.124 0.030 0.751
Se3 0.279 0.373 0.249
Se4 0.471 0.220 0.595
Se5 0.626 0.877 0.405
Se6 0.627 0.876 0.905
Se7 0.780 0.374 0.251
Se8 0.970 0.721 0.095

- Size of the total moment: 0.8864 μB/atom

---

Model B:
# U2PaSe4

U2PaSe4 after structural relaxation (PBE, Alexandria via LeMat-Bulk).

Cell lengths 6.955, 6.955, 13.825 Å; angles 90.00, 90.00, 147.17 degrees
Sites, in units of the cell vectors:
U1 0.141 0.859 0.562
U2 0.141 0.859 0.938
U3 0.859 0.141 0.062
U4 0.859 0.141 0.438
Pa1 0.388 0.612 0.750
Pa2 0.612 0.388 0.250
Se1 0.048 0.952 0.750
Se2 0.220 0.780 0.132
Se3 0.220 0.780 0.368
Se4 0.500 0.500 0.000
Se5 0.500 0.500 0.500
Se6 0.780 0.220 0.632
Se7 0.780 0.220 0.868
Se8 0.952 0.048 0.250

- Size of the total moment: 1.0907 μB/atom

---

List of relative energies, unit meV per atom: model A 0; model B 78

---

Model A:
# U2Pa3Se8

U2Pa3Se8 after structural relaxation (PBE, Alexandria via LeMat-Bulk).

Cell lengths 8.481, 8.481, 4.954 Å; angles 90.00, 90.00, 109.86 degrees
Sites, in units of the cell vectors:
U1 0.237 0.763 0.000
U2 0.763 0.237 0.000
Pa1 0.236 0.236 0.500
Pa2 0.500 0.500 0.000
Pa3 0.764 0.764 0.500
Se1 0.126 0.874 0.500
Se2 0.136 0.380 0.000
Se3 0.380 0.136 0.000
Se4 0.381 0.619 0.500
Se5 0.619 0.381 0.500
Se6 0.620 0.864 0.000
Se7 0.864 0.620 0.000
Se8 0.874 0.126 0.500

- Size of the total moment: 0.5997 μB/atom

---

Model B:
# U2Pa3Se8

U2Pa3Se8 after structural relaxation (PBE, Alexandria via LeMat-Bulk).

Cell lengths 8.265, 8.265, 6.843 Å; angles 104.59, 104.59, 58.52 degrees
Sites, in units of the cell vectors:
U1 0.245 0.245 0.326
U2 0.755 0.755 0.674
Pa1 0.000 0.000 0.500
Pa2 0.244 0.756 0.000
Pa3 0.756 0.244 0.000
Se1 0.129 0.129 0.906
Se2 0.135 0.622 0.586
Se3 0.378 0.865 0.414
Se4 0.386 0.386 0.096
Se5 0.614 0.614 0.904
Se6 0.622 0.135 0.586
Se7 0.865 0.378 0.414
Se8 0.871 0.871 0.094

- Size of the total moment: 0.7248 μB/atom

---

List of relative energies, unit meV per atom: model A 0; model B 57

---

Model A:
# UPaSe6

UPaSe6 after structural relaxation (PBE, Alexandria via LeMat-Bulk).

Cell lengths 4.056, 12.421, 12.421 Å; angles 18.79, 90.00, 90.00 degrees
Sites, in units of the cell vectors:
U1 0.000 0.000 0.000
Pa1 0.500 0.340 0.340
Se1 0.000 0.255 0.255
Se2 0.000 0.587 0.587
Se3 0.000 0.876 0.876
Se4 0.500 0.087 0.087
Se5 0.500 0.464 0.464
Se6 0.500 0.755 0.755

- Size of the total moment: 0.3101 μB/atom

---

Model B:
# UPaSe6

UPaSe6 after structural relaxation (PBE, Alexandria via LeMat-Bulk).

Cell lengths 7.652, 7.652, 7.652 Å; angles 60.00, 60.00, 60.00 degrees
Sites, in units of the cell vectors:
U1 0.000 0.000 0.000
Pa1 0.500 0.500 0.500
Se1 0.246 0.246 0.754
Se2 0.246 0.754 0.246
Se3 0.246 0.754 0.754
Se4 0.754 0.246 0.246
Se5 0.754 0.246 0.754
Se6 0.754 0.754 0.246

- Size of the total moment: 0.0000 μB/atom

---

List of relative energies, unit meV per atom: model A 0; model B 137

---

Model A:
# UPaSe4

UPaSe4 after structural relaxation (PBE, Alexandria via LeMat-Bulk).

Cell lengths 4.838, 4.838, 6.842 Å; angles 90.36, 90.36, 90.06 degrees
Sites, in units of the cell vectors:
U1 0.000 0.000 0.000
Pa1 0.500 0.500 0.500
Se1 0.001 0.498 0.747
Se2 0.498 0.001 0.747
Se3 0.502 0.999 0.253
Se4 0.999 0.502 0.253

- Size of the total moment: 0.5016 μB/atom

---

Model B:
# UPaSe4

UPaSe4 after structural relaxation (PBE, Alexandria via LeMat-Bulk).

Cell lengths 6.671, 6.671, 4.293 Å; angles 90.00, 90.00, 90.36 degrees
Sites, in units of the cell vectors:
U1 0.000 0.000 0.000
Pa1 0.500 0.500 0.500
Se1 0.199 0.199 0.500
Se2 0.305 0.695 0.000
Se3 0.695 0.305 0.000
Se4 0.801 0.801 0.500

- Size of the total moment: 0.5009 μB/atom

---

List of relative energies, unit meV per atom: model A 0; model B 84

---

Model A:
# UPa2Se4

UPa2Se4 after structural relaxation (PBE, Alexandria via LeMat-Bulk).

Cell lengths 6.901, 6.901, 14.019 Å; angles 90.00, 90.00, 147.21 degrees
Sites, in units of the cell vectors:
U1 0.108 0.892 0.750
U2 0.892 0.108 0.250
Pa1 0.356 0.644 0.561
Pa2 0.356 0.644 0.939
Pa3 0.644 0.356 0.061
Pa4 0.644 0.356 0.439
Se1 0.000 0.000 0.000
Se2 0.000 0.000 0.500
Se3 0.282 0.718 0.135
Se4 0.282 0.718 0.365
Se5 0.445 0.555 0.750
Se6 0.555 0.445 0.250
Se7 0.718 0.282 0.635
Se8 0.718 0.282 0.865

- Size of the total moment: 0.7058 μB/atom

---

Model B:
# UPa2Se4

UPa2Se4 after structural relaxation (PBE, Alexandria via LeMat-Bulk).

Cell lengths 8.040, 8.040, 8.040 Å; angles 120.05, 119.49, 90.40 degrees
Sites, in units of the cell vectors:
U1 0.000 0.000 0.000
U2 0.500 0.000 0.500
Pa1 0.000 0.500 0.500
Pa2 0.500 0.000 0.000
Pa3 0.500 0.500 0.000
Pa4 0.500 0.500 0.500
Se1 0.238 0.237 0.499
Se2 0.238 0.739 0.001
Se3 0.240 0.250 0.990
Se4 0.240 0.750 0.490
Se5 0.760 0.250 0.510
Se6 0.760 0.750 0.010
Se7 0.762 0.261 0.999
Se8 0.762 0.763 0.501

- Size of the total moment: 0.5633 μB/atom

---

List of relative energies, unit meV per atom: model A 101; model B 0